In3ReRh | the Alexandria database | SCAN | PBEsol geometry; mass density = 8.18 g cm⁻³; E_tot = -199.7 eV/cell; V = 25.73 Å³/atom; Fermi-level density of states = 1.0260 states/eV per atom; E_form = 101.9 kJ/mol of atoms
1.0
-3.949 -0.312 3.130
2.109 -3.989 2.264
2.333 3.078 3.251
Re Rh In
1 1 3
direct
0.000 0.000 0.000
0.500 0.500 0.500
0.000 0.500 0.000
0.000 0.000 0.500
0.500 0.000 0.000